1.
This record from Alexandria via LeMat-Bulk describes AgP3 after structural relaxation. The functional is GGA-PBEsol.

Computed properties:
Space group: P6_3/mmc (194)
Calculated volume in Å³ per cell: 128
ρ in Mg/m³: 5.21
Calculated formation energy in eV/atom: 0.273
Crystal system: hexagonal
DOS at the Fermi energy in states/eV/cell: 3.2

abc: 3.077 6.931 6.931
angles: 120.00 90.00 90.00
Fractional positions:
1 Ag 0.750 0.666 0.334
2 Ag 0.250 0.334 0.666
3 P 0.750 0.152 0.848
4 P 0.250 0.848 0.152
5 P 0.750 0.697 0.848
6 P 0.250 0.303 0.152
7 P 0.250 0.848 0.697
8 P 0.750 0.152 0.303


2.
This record from Alexandria via LeMat-Bulk describes AgI after structural relaxation. The functional is GGA-PBEsol.

Computed properties:
Space group: P6_3mc (186)
Raw formation energy in meV per atom: -194
Calculated volume in Å³ per cell: 247
ρ in Mg/m³: 6.32
Crystal system: hexagonal

abc: 4.402 4.402 14.712
angles: 90.00 90.00 120.00
Fractional positions:
1 I 0.000 0.000 0.485
2 I 0.667 0.333 0.265
3 I 0.333 0.667 0.765
4 I 0.000 0.000 0.985
5 Ag 0.000 0.000 0.177
6 Ag 0.667 0.333 0.073
7 Ag 0.333 0.667 0.573
8 Ag 0.000 0.000 0.677


3.
This record from Alexandria via LeMat-Bulk describes USb2Ru after structural relaxation. The functional is GGA-PBEsol.

Computed properties:
Space group: P4/nmm (129)
Raw formation energy in meV per atom: -289
Calculated volume in Å³ per cell: 167
ρ in Mg/m³: 11.58
Crystal system: tetragonal
DOS at the Fermi energy in states/eV/cell: 11.1

abc: 4.310 4.310 8.995
angles: 90.00 90.00 90.00
Each line ends with the local moment (μB).
Fractional positions:
1 U 0.500 0.000 0.274  1.25
2 U 0.000 0.500 0.726  1.25
3 Sb 0.000 0.000 0.000  -0.02
4 Sb 0.500 0.500 0.000  -0.02
5 Sb 0.500 0.000 0.683  -0.01
6 Sb 0.000 0.500 0.317  -0.01
7 Ru 0.000 0.000 0.500  -0.12
8 Ru 0.500 0.500 0.500  -0.12


4.
This record from Alexandria via LeMat-Bulk describes VP2Cl7O4 after structural relaxation. The functional is GGA-PBEsol.

Computed properties:
Space group: P-1 (2)
Raw formation energy in meV per atom: -1357
Calculated volume in Å³ per cell: 653
ρ in Mg/m³: 2.16
Crystal system: triclinic
DOS at the Fermi energy in states/eV/cell: 0.0

abc: 8.165 8.410 10.437
angles: 91.81 104.97 108.06
Fractional positions:
1 V 0.399 0.349 0.195
2 V 0.601 0.651 0.805
3 P 0.335 0.645 0.001
4 P 0.203 0.255 0.683
5 P 0.797 0.745 0.317
6 P 0.665 0.355 0.999
7 Cl 0.584 0.254 0.341
8 Cl 0.999 0.684 0.431
9 Cl 0.631 0.164 0.866
10 Cl 0.001 0.316 0.569
11 Cl 0.369 0.836 0.134
12 Cl 0.282 0.135 0.556
13 Cl 0.107 0.627 0.863
14 Cl 0.893 0.373 0.137
15 Cl 0.334 0.484 0.349
16 Cl 0.910 0.919 0.214
17 Cl 0.666 0.516 0.651
18 Cl 0.718 0.865 0.444
19 Cl 0.090 0.081 0.786
20 Cl 0.416 0.746 0.659
21 O 0.698 0.516 0.937
22 O 0.491 0.699 0.942
23 O 0.652 0.600 0.231
24 O 0.773 0.814 0.846
25 O 0.227 0.186 0.154
26 O 0.348 0.400 0.769
27 O 0.302 0.484 0.063
28 O 0.509 0.301 0.058


Question: Number 2 is which compound?
Answer: AgI